This record from OQMD via LeMat-Bulk describes an optimized crystal structure of HgN2. The functional is GGA-PBE.

Output
The value obtained for the offset from the most stable computed form is 0 meV per atom. As for the calculated volume: 153 Å³/cell.

Unit cell a=5.3531 b=5.3531 c=5.3531 alpha=90.00 beta=90.00 gamma=90.00
Closest atoms and distances in Å follow each position.
Space group Fm-3m (No. 225)
Asymmetric unit:
1 Hg 0.0000 0.0000 0.0000 x4  8 N 2.32
2 N 0.2500 0.2500 0.2500 x8  4 Hg 2.32